First-principles (PBE) data for an optimized crystal structure of Li4BiPPt2, as listed in OQMD via LeMat-Bulk.

It has space group P-4m2 (No. 115), with a = 4.196 Å, b = 4.196 Å, c = 6.752 Å, α = 90.00°, β = 90.00° and γ = 90.00°. The inequivalent atoms are Li at (0.000, 0.000, 0.000), Li at (0.000, 0.500, 0.708), Li at (0.500, 0.500, 0.500), Bi at (0.500, 0.500, 0.000), P at (0.000, 0.000, 0.500) and Pt at (0.000, 0.500, 0.300).

The total magnetic moment is 0.0 μB per formula unit. The crystal system is tetragonal. The calculation puts the total energy at -4.256 eV/atom.

=====

First-principles (PBE) data for an optimized crystal structure of InAgSnSeS2, as listed in OQMD via LeMat-Bulk.

It has space group Cmcm (No. 63), with a = 3.777 Å, b = 15.111 Å, c = 10.642 Å, α = 90.00°, β = 90.00° and γ = 90.00°. The inequivalent atoms are In at (0.000, 0.185, 0.250), Ag at (0.000, 0.169, 0.750), Sn at (0.000, 0.500, 0.000), Se at (0.000, 0.450, 0.750) and S at (0.000, 0.117, 0.528).

The crystal system is orthorhombic. The calculation puts the total energy at -3.826 eV/atom.

=====

First-principles (PBE) data for an optimized crystal structure of SmSbO4, as listed in OQMD via LeMat-Bulk.

It has space group P2_1/c (No. 14), with a = 7.620 Å, b = 5.450 Å, c = 7.592 Å, α = 90.00°, β = 99.53° and γ = 90.00°. The inequivalent atoms are Sm at (0.146, 0.227, 0.397), Sb at (0.337, 0.730, 0.196), O at (0.117, 0.519, 0.173), O at (0.170, 0.502, 0.625), O at (0.333, 0.628, 0.942) and O at (0.435, 0.094, 0.806).

The total magnetic moment is 0.0 μB per formula unit. The crystal system is monoclinic. The calculation puts the total energy at -7.132 eV/atom.

=====

First-principles (PBE) data for an optimized crystal structure of InAg2Se2S, as listed in OQMD via LeMat-Bulk.

It has space group Cc (No. 9), with a = 7.371 Å, b = 12.732 Å, c = 7.281 Å, α = 90.00°, β = 108.99° and γ = 90.00°. The inequivalent atoms are In at (0.000, 0.089, 0.000), Ag at (0.009, 0.248, 0.476), Ag at (0.478, 0.088, 0.492), Se at (0.365, 0.415, 0.114), Se at (0.376, 0.087, 0.113) and S at (0.369, 0.252, 0.613).

The crystal system is monoclinic. The calculation puts the total energy at -3.500 eV/atom.

=====

First-principles (PBE) data for an optimized crystal structure of GdErSn2Pt4, as listed in OQMD via LeMat-Bulk.

It has space group P-6m2 (No. 187), with a = 4.5618 Å, b = 4.5618 Å, c = 9.0924 Å, α = 90.00°, β = 90.00° and γ = 120.00°. The inequivalent atoms are Gd at (0.0000, 0.0000, 0.0000), Er at (0.3333, 0.6667, 0.5000), Sn at (0.6667, 0.3333, 0.2515), Pt at (0.0000, 0.0000, 0.3424) and Pt at (0.3333, 0.6667, 0.1625).

The total magnetic moment is 0.0 μB per formula unit. The crystal system is hexagonal. The calculation puts the total energy at -6.189 eV/atom.

=====

First-principles (PBE) data for an optimized crystal structure of Ag5AsCl2O4, as listed in OQMD via LeMat-Bulk.

It has space group Amm2 (No. 38), with a = 7.112 Å, b = 10.189 Å, c = 5.842 Å, α = 90.00°, β = 90.00° and γ = 90.00°. The inequivalent atoms are Ag at (0.000, 0.000, 0.000), Ag at (0.289, 0.192, 0.395), As at (0.500, 0.000, 0.983), Cl at (0.000, 0.165, 0.646), O at (0.304, 0.000, 0.162) and O at (0.500, 0.138, 0.810).

The crystal system is orthorhombic. The calculation puts the total energy at -4.050 eV/atom.